Entry from the Alexandria database: a relaxed structure of KBeAs2 (PBE-GGA).

Cell: 3.474 3.474 7.315 Å, 90.00 90.00 90.00°
Fractional positions:
K: 0.000 0.000 0.000
Be: 0.500 0.500 0.608
As: 0.000 0.000 0.555
As: 0.500 0.500 0.312

Computed properties:
Electronic total energy: -13.33 eV for the cell shown
ΔH_f (0 K): 0.199 eV per atom
ρ: 3723 kg/m³

=====

Entry from the Alexandria database: a relaxed structure of KBe2As (PBE-GGA).

Cell: 5.602 5.602 5.602 Å, 142.02 110.14 82.38°
Fractional positions:
K: 0.000 0.000 0.000
Be: 0.354 0.854 0.500
Be: 0.646 0.146 0.500
As: 0.500 0.500 0.000

Computed properties:
Electronic total energy: -10.94 eV for the cell shown
ΔH_f (0 K): 0.564 eV per atom
ρ: 2224 kg/m³

=====

Entry from the Alexandria database: a relaxed structure of K2BeAs (PBE-GGA).

Cell: 5.967 5.967 3.221 Å, 90.00 90.00 90.21°
Fractional positions:
K: 0.000 0.500 0.000
K: 0.500 0.000 0.000
Be: 0.000 0.000 0.500
As: 0.500 0.500 0.500

Computed properties:
Electronic total energy: -8.55 eV for the cell shown
ΔH_f (0 K): 0.504 eV per atom
ρ: 2347 kg/m³

=====

Entry from the Alexandria database: a relaxed structure of KBe2As (PBE-GGA).

Cell: 5.994 5.994 2.652 Å, 102.66 102.66 119.58°
Fractional positions:
K: 0.000 0.000 0.000
Be: 0.000 0.500 0.000
Be: 0.500 0.000 0.000
As: 0.500 0.500 0.000

Computed properties:
Electronic total energy: -9.56 eV for the cell shown
ΔH_f (0 K): 0.911 eV per atom
ρ: 2940 kg/m³

=====

Entry from the Alexandria database: a relaxed structure of KBeAs2 (PBE-GGA).

Cell: 8.231 8.231 8.231 Å, 142.44 142.44 54.17°
Fractional positions:
K: 0.000 0.000 0.000
K: 0.750 0.250 0.500
Be: 0.250 0.750 0.500
Be: 0.500 0.500 0.000
As: 0.355 0.625 0.230
As: 0.375 0.605 0.730
As: 0.395 0.125 0.770
As: 0.875 0.645 0.270

Computed properties:
Electronic total energy: -29.40 eV for the cell shown
ΔH_f (0 K): -0.144 eV per atom
ρ: 3194 kg/m³

=====

Entry from the Alexandria database: a relaxed structure of K2BeAs (PBE-GGA).

Cell: 9.648 9.648 9.648 Å, 23.64 23.64 23.64°
Fractional positions:
K: 0.000 0.000 0.000
K: 0.188 0.188 0.188
Be: 0.427 0.427 0.427
As: 0.761 0.761 0.761

Computed properties:
Electronic total energy: -11.53 eV for the cell shown
ΔH_f (0 K): -0.241 eV per atom
ρ: 2123 kg/m³